A relaxed structure of In3Ag3PtO8. Source: Alexandria via LeMat-Bulk, functional PBE.

Cell and atoms, written as CIF:
```
data_In3Ag3PtO8
_chemical_formula_sum 'In3 Ag3 Pt1 O8'
_space_group_name_H-M_alt 'P 1'
_space_group_IT_number 1
_cell_length_a 6.5237
_cell_length_b 6.5237
_cell_length_c 7.0218
_cell_angle_alpha 117.99
_cell_angle_beta 117.99
_cell_angle_gamma 60.03
loop_
_space_group_symop_operation_xyz
'x,y,z'
loop_
_atom_site_label
_atom_site_type_symbol
_atom_site_fract_x
_atom_site_fract_y
_atom_site_fract_z
In1 In 0.0000 0.0000 0.0000
In2 In 0.0000 0.5000 0.0000
In3 In 0.5000 0.0000 0.0000
Ag1 Ag 0.0000 0.5000 0.5000
Ag2 Ag 0.5000 0.0000 0.5000
Ag3 Ag 0.5000 0.5000 0.5000
Pt1 Pt 0.5000 0.5000 0.0000
O1 O 0.2307 0.2307 0.1899
O2 O 0.2550 0.7166 0.1859
O3 O 0.2834 0.7450 0.8141
O4 O 0.2836 0.2836 0.8144
O5 O 0.7164 0.7164 0.1856
O6 O 0.7166 0.2550 0.1859
O7 O 0.7450 0.2834 0.8141
O8 O 0.7693 0.7693 0.8101
```

Energy = -5.019 eV per atom
Magnetization = 0.00 μB per formula unit
E_form (uncorrected) = -854 meV/atom
Symmetry = C2/m